## Tm3ZnSn3 (PBE)

Data for Tm3ZnSn3 after structural relaxation. Values from VASP.

Cell and atoms, written as Quantum ESPRESSO input:
```
&SYSTEM
  ibrav = 0, nat = 14, ntyp = 3
/
ATOMIC_SPECIES
Zn 65.41 Zn.upf
Tm 168.93 Tm.upf
Sn 118.71 Sn.upf
CELL_PARAMETERS angstrom
-0.273 3.839 2.126
0.406 -0.759 5.968
13.920 2.804 1.268
ATOMIC_POSITIONS crystal
Zn 0.775 0.078 0.373
Tm 0.600 0.721 0.079
Tm 0.485 0.651 0.379
Sn 0.146 0.250 0.457
Sn 0.003 0.223 0.771
Tm 0.730 0.769 0.770
Zn 0.225 0.922 0.627
Tm 0.515 0.349 0.621
Tm 0.400 0.279 0.921
Tm 0.270 0.231 0.230
Sn 0.127 0.821 0.925
Sn 0.854 0.750 0.543
Sn 0.997 0.777 0.229
Sn 0.873 0.179 0.075
```

Computed properties:
Energy above the most stable polymorph in this dataset: 0 meV per atom
Formation energy from the elements: -4.050 eV/f.u.
Space group: C2/m